Record 1
The following is a DFT calculation (PBE-GGA) of an optimized crystal structure of Cs2TlSn.

## Properties
E above lowest polymorph = 0.231 eV/atom

a b c (Å): 9.155 9.155 9.155
angles (deg): 90.00 90.00 90.00
Space group Fm-3m (No. 225)
One atom of each set of equivalent atoms:
Cs  0.250  0.250  0.250 (multiplicity 8)
Tl  0.000  0.000  0.000 (multiplicity 4)
Sn  0.000  0.000  0.500 (multiplicity 4)

=====

Record 2
The following is a DFT calculation (PBE-GGA) of an optimized crystal structure of CsTl2Sn.

## Properties
E above lowest polymorph = 0.015 eV/atom

a b c (Å): 4.035 4.035 8.909
angles (deg): 90.00 90.00 90.00
Space group P4/mmm (No. 123)
One atom of each set of equivalent atoms:
Cs  0.000  0.000  0.000 (multiplicity 1)
Tl  0.500  0.500  0.308 (multiplicity 2)
Sn  0.000  0.000  0.500 (multiplicity 1)

=====

Record 3
The following is a DFT calculation (PBE-GGA) of an optimized crystal structure of Cs2Tl6Sn.

a b c (Å): 16.562 10.958 3.708
angles (deg): 90.00 100.43 90.00
Space group C2/m (No. 12)
One atom of each set of equivalent atoms:
Cs  0.136  0.000  0.092 (multiplicity 4)
Tl  0.000  0.259  0.500 (multiplicity 4)
Tl  0.173  0.347  0.227 (multiplicity 8)
Sn  0.000  0.500  0.000 (multiplicity 2)

=====

Record 4
The following is a DFT calculation (PBE-GGA) of an optimized crystal structure of Cs2Tl3Sn.

a b c (Å): 15.342 8.366 8.799
angles (deg): 90.00 106.65 90.00
Space group C2/c (No. 15)
One atom of each set of equivalent atoms:
Cs  0.157  0.001  0.078 (multiplicity 8)
Tl  0.000  0.290  0.250 (multiplicity 4)
Tl  0.119  0.499  0.060 (multiplicity 8)
Sn  0.000  0.327  0.750 (multiplicity 4)

=====

Record 5
The following is a DFT calculation (PBE-GGA) of an optimized crystal structure of CsTlSn2.

## Properties
E above lowest polymorph = 0.209 eV/atom

a b c (Å): 8.211 8.211 8.211
angles (deg): 90.00 90.00 90.00
Space group Fm-3m (No. 225)
One atom of each set of equivalent atoms:
Cs  0.000  0.000  0.000 (multiplicity 4)
Tl  0.000  0.000  0.500 (multiplicity 4)
Sn  0.250  0.250  0.250 (multiplicity 8)

=====

Record 6
The following is a DFT calculation (PBE-GGA) of an optimized crystal structure of Cs3Tl4Sn2.

a b c (Å): 4.987 7.750 11.165
angles (deg): 82.79 89.98 71.24
Space group P-1 (No. 2)
One atom of each set of equivalent atoms:
Cs  0.000  0.000  0.000 (multiplicity 1)
Cs  0.382  0.236  0.604 (multiplicity 2)
Tl  0.101  0.798  0.681 (multiplicity 2)
Tl  0.302  0.396  0.918 (multiplicity 2)
Sn  0.304  0.390  0.212 (multiplicity 2)

=====

Record 7
The following is a DFT calculation (PBE-GGA) of an optimized crystal structure of Cs2Tl7Sn.

## Properties
E above lowest polymorph = 0.000 eV/atom

a b c (Å): 5.341 5.341 13.222
angles (deg): 90.00 90.00 90.00
Space group P-4m2 (No. 115)
One atom of each set of equivalent atoms:
Cs  0.000  0.500  0.245 (multiplicity 2)
Tl  0.000  0.000  0.000 (multiplicity 1)
Tl  0.000  0.000  0.500 (multiplicity 1)
Tl  0.000  0.500  0.632 (multiplicity 2)
Tl  0.000  0.500  0.869 (multiplicity 2)
Tl  0.500  0.500  0.500 (multiplicity 1)
Sn  0.500  0.500  0.000 (multiplicity 1)

=====

Record 8
The following is a DFT calculation (PBE-GGA) of an optimized crystal structure of Cs4Tl4Sn.

a b c (Å): 6.872 6.872 20.676
angles (deg): 90.00 90.00 90.00
Space group I-42m (No. 121)
One atom of each set of equivalent atoms:
Cs  0.237  0.237  0.152 (multiplicity 8)
Tl  0.206  0.206  0.452 (multiplicity 8)
Sn  0.000  0.000  0.000 (multiplicity 2)

=====

Record 9
The following is a DFT calculation (PBE-GGA) of an optimized crystal structure of CsTlVSn2.

a b c (Å): 5.263 5.263 5.919
angles (deg): 90.00 90.00 90.00
Space group P4/mmm (No. 123)
One atom of each set of equivalent atoms:
Cs  0.000  0.000  0.000 (multiplicity 1)
Tl  0.500  0.500  0.000 (multiplicity 1)
V  0.000  0.000  0.500 (multiplicity 1)
Sn  0.000  0.500  0.500 (multiplicity 2)

=====

Record 10
The following is a DFT calculation (PBE-GGA) of an optimized crystal structure of CsTl2ZnSn.

a b c (Å): 5.876 5.876 5.222
angles (deg): 90.00 90.00 90.00
Space group P4/mmm (No. 123)
One atom of each set of equivalent atoms:
Cs  0.000  0.000  0.000 (multiplicity 1)
Tl  0.000  0.500  0.500 (multiplicity 2)
Zn  0.500  0.500  0.500 (multiplicity 1)
Sn  0.500  0.500  0.000 (multiplicity 1)

=====

Record 11
The following is a DFT calculation (PBE-GGA) of an optimized crystal structure of CsVSn3.

a b c (Å): 5.300 5.300 5.300
angles (deg): 90.00 90.00 90.00
Space group Pm-3m (No. 221)
One atom of each set of equivalent atoms:
Cs  0.000  0.000  0.000 (multiplicity 1)
V  0.500  0.500  0.500 (multiplicity 1)
Sn  0.000  0.500  0.500 (multiplicity 3)

=====

Record 12
The following is a DFT calculation (PBE-GGA) of an optimized crystal structure of Cs2VSn4.

a b c (Å): 5.242 5.242 19.971
angles (deg): 90.00 90.00 90.00
Space group I4/mmm (No. 139)
One atom of each set of equivalent atoms:
Cs  0.000  0.000  0.164 (multiplicity 4)
V  0.000  0.000  0.500 (multiplicity 2)
Sn  0.000  0.000  0.372 (multiplicity 4)
Sn  0.000  0.500  0.000 (multiplicity 4)

=====

Number 1: formation energy from the elements 0.108 eV per atom. Number 2: formation energy from the elements -0.092 eV per atom. Number 3: formation energy from the elements -0.033 eV per atom. Number 4: formation energy from the elements -0.134 eV per atom. Number 5: formation energy from the elements 0.199 eV per atom. Number 6: formation energy from the elements -0.125 eV per atom. Number 7: formation energy from the elements -0.071 eV per atom. Number 8: formation energy from the elements -0.030 eV per atom. Number 9: formation energy from the elements 0.393 eV per atom. Number 10: formation energy from the elements 0.111 eV per atom. Number 11: formation energy from the elements -0.020 eV per atom. Number 12: formation energy from the elements 0.007 eV per atom.